[1]
This record from the Alexandria database describes an optimized crystal structure of Rb4U3TiN8. The functional is PBE.

Cell lengths 6.905, 7.789, 6.906 Å; angles 116.32, 120.00, 90.00 degrees
Each line ends with the local moment (μB).
Fractional positions:
U (0.000, 0.500, 0.500)  0.60
U (0.500, 0.500, 0.500)  0.60
U (0.500, 0.500, 0.000)  0.60
N (0.719, 0.656, 0.437)  -0.03
N (0.783, 0.349, 0.066)  -0.04
N (0.283, 0.349, 0.066)  -0.04
N (0.217, 0.651, 0.934)  -0.04
N (0.217, 0.651, 0.434)  -0.04
N (0.783, 0.349, 0.566)  -0.04
N (0.717, 0.651, 0.934)  -0.04
N (0.281, 0.344, 0.563)  -0.03
Rb (0.000, 0.000, 0.000)  0.01
Rb (0.000, 0.000, 0.500)  0.01
Rb (0.500, 0.000, 0.000)  0.01
Rb (0.500, 0.000, 0.500)  0.01
Ti (0.000, 0.500, 0.000)  0.34

Results
For the electronic total energy, the calculation gives -7.8901 eV/atom. The value obtained for the raw formation energy is -0.876 eV/atom. Its crystal system is trigonal. The space-group type is R-3m (166).

=====

[2]
This record from the Alexandria database describes an optimized crystal structure of PmPaPb. The functional is PBE.

Cell lengths 3.565, 6.275, 11.182 Å; angles 101.75, 72.36, 55.41 degrees
Fractional positions:
Pb (0.196, 0.825, 0.180)
Pb (0.135, 0.551, 0.402)
Pm (0.952, 0.159, 0.510)
Pm (0.379, 0.217, 0.071)
Pa (0.677, 0.482, 0.835)
Pa (0.654, 0.894, 0.747)

Results
For the electronic total energy, the calculation gives -6.0585 eV/atom. The value obtained for the formation energy from the elements is -0.07 eV/atom. Its crystal system is triclinic. For the distance to the lowest polymorph of the same formula, the calculation gives 0 meV/atom. The space-group type is P-1 (2).

=====

[3]
This record from the Alexandria database describes an optimized crystal structure of Pr6HoCd. The functional is PBE.

Cell lengths 6.612, 6.663, 9.196 Å; angles 68.83, 69.38, 59.83 degrees
Fractional positions:
Pr (0.183, 0.971, 0.286)
Pr (0.038, 0.427, 0.711)
Pr (0.817, 0.029, 0.714)
Pr (0.432, 0.813, 0.715)
Pr (0.568, 0.187, 0.285)
Pr (0.962, 0.573, 0.289)
Cd (0.000, 0.000, 0.000)
Ho (0.500, 0.500, 0.500)

Results
For the electronic total energy, the calculation gives -3.8718 eV/atom. The value obtained for the formation energy from the elements is 0.40 eV/atom. Its crystal system is triclinic. For the distance to the lowest polymorph of the same formula, the calculation gives 446 meV/atom. The space-group type is P-1 (2).

=====

no.,Fermi-level density of states (states/eV per cell)
1,6.90
2,7.87
3,11.62